VASP calculation (GGA-PBE) on TlRuI2O after structural relaxation.

E: -0.1573 Ha/atom
space-group type: P4/mmm, No. 123
calculated volume: 128.7 Å³ per cell

```
data_TlRuI2O
_chemical_formula_sum 'Tl1 Ru1 I2 O1'
_cell_length_a 5.823
_cell_length_b 5.823
_cell_length_c 3.795
_cell_angle_alpha 90.00
_cell_angle_beta 90.00
_cell_angle_gamma 90.00
_symmetry_space_group_name_H-M 'P 1'
_symmetry_Int_Tables_number 1
loop_
_symmetry_equiv_pos_as_xyz
'x,y,z'
loop_
_atom_site_label
_atom_site_type_symbol
_atom_site_fract_x
_atom_site_fract_y
_atom_site_fract_z
Tl1 Tl 0.000 0.000 0.000
Ru1 Ru 0.500 0.500 0.500
I1 I 0.000 0.500 0.500
I2 I 0.500 0.000 0.500
O1 O 0.500 0.500 0.000
```